Record 1
Material: NaPmEuGe
Method: DFT, GGA-PBE
State: optimized geometry

Cell: 7.5765 7.5765 7.5765 Å, 90.00 90.00 90.00°
Space group F-43m (No. 216)
One atom of each set of equivalent atoms:
Na  0.0000  0.0000  0.0000
Pm  0.2500  0.2500  0.2500
Eu  0.2500  0.2500  0.7500
Ge  0.0000  0.0000  0.5000

energy of formation from the pure elements	-253	meV per atom
density of states at the Fermi level	34.93	states/eV/cell
total magnetic moment	30.74	μB/cell

=====

Record 2
Material: Na3Eu2Ge2Se6
Method: DFT, GGA-PBE
State: optimized geometry

Cell: 7.3217 12.6819 7.9892 Å, 90.00 107.75 90.00°
Space group C2/m (No. 12)
One atom of each set of equivalent atoms:
Na  0.0000  0.0000  0.0000
Na  0.0000  0.3277  0.0000
Eu  0.0000  0.1662  0.5000
Ge  0.0539  0.5000  0.6648
Se  0.2485  0.3342  0.7493
Se  0.2479  0.5000  0.2479

density of states at the Fermi level	48.49	states/eV/cell
total magnetic moment	27.55	μB/cell
E_form (uncorrected)	-1.091	eV/atom

=====

Record 3
Material: NaEuSnGe
Method: DFT, GGA-PBE
State: optimized geometry

Cell: 7.4874 7.4874 7.4874 Å, 90.00 90.00 90.00°
Space group F-43m (No. 216)
One atom of each set of equivalent atoms:
Na  0.0000  0.0000  0.0000
Eu  0.0000  0.0000  0.5000
Sn  0.2500  0.2500  0.2500
Ge  0.2500  0.2500  0.7500

energy of formation from the pure elements	-285	meV per atom
density of states at the Fermi level	9.45	states/eV/cell
total magnetic moment	27.63	μB/cell

=====

Record 4
Material: NaEuTlGe
Method: DFT, GGA-PBE
State: optimized geometry

Cell: 7.5075 7.5075 7.5075 Å, 90.00 90.00 90.00°
Space group F-43m (No. 216)
One atom of each set of equivalent atoms:
Na  0.0000  0.0000  0.0000
Eu  0.0000  0.0000  0.5000
Tl  0.2500  0.2500  0.7500
Ge  0.2500  0.2500  0.2500

energy of formation from the pure elements	-299	meV per atom
density of states at the Fermi level	29.24	states/eV/cell
total magnetic moment	27.95	μB/cell